(1)
V2H2Ru, optimized geometry, DFT PBE; polymorph energy (0 for the lowest one) = 2.375 kcal/mol of atoms; SG = P4/mmm; size of the total moment = 0.000 μB per cell
1.0
2.853 0.000 0.000
0.000 2.853 0.000
0.000 0.000 5.873
V H Ru
2 2 1
direct
0.000 0.000 0.219
0.000 0.000 0.781
0.000 0.500 0.000
0.500 0.000 0.000
0.500 0.500 0.500

(2)
V4HRu2, optimized geometry, DFT PBE; E = -57.84 eV per formula unit; SG = I4/mmm; size of the total moment = 0.000 μB per cell
1.0
-1.812 1.812 6.740
1.812 -1.812 6.740
1.812 1.812 -6.740
V H Ru
4 1 2
direct
0.000 0.500 0.500
0.178 0.178 0.000
0.500 0.000 0.500
0.822 0.822 0.000
0.000 0.000 0.000
0.354 0.354 0.000
0.646 0.646 0.000

(3)
V2HRu, optimized geometry, DFT PBE; polymorph energy (0 for the lowest one) = 0.000 kcal/mol of atoms; SG = I-42d; size of the total moment = 0.000 μB per cell
1.0
-2.794 2.794 2.907
2.794 -2.794 2.907
2.794 2.794 -2.907
V H Ru
4 2 2
direct
0.035 0.625 0.910
0.375 0.285 0.410
0.715 0.125 0.090
0.875 0.965 0.590
0.000 0.000 0.000
0.750 0.250 0.500
0.250 0.750 0.500
0.500 0.500 0.000

(4)
V3HRu, optimized geometry, DFT PBE; polymorph energy (0 for the lowest one) = 39.098 kcal/mol of atoms; SG = Pm-3m; size of the total moment = 0.271 μB per cell
1.0
4.547 0.000 0.000
0.000 4.547 0.000
0.000 0.000 4.547
V H Ru
3 1 1
direct
0.000 0.000 0.500
0.000 0.500 0.000
0.500 0.000 0.000
0.500 0.500 0.500
0.000 0.000 0.000

(5)
V2HRu, optimized geometry, DFT PBE; polymorph energy (0 for the lowest one) = 11.302 kcal/mol of atoms; SG = R-3m; size of the total moment = 0.000 μB per cell
1.0
1.895 1.094 5.408
-1.895 1.094 5.408
0.000 -2.188 5.408
V H Ru
2 1 1
direct
0.107 0.107 0.107
0.893 0.893 0.893
0.000 0.000 0.000
0.500 0.500 0.500

(6)
V2H3Ru2, optimized geometry, DFT PBE; E = -47.63 eV per formula unit; SG = C2/m; size of the total moment = 0.000 μB per cell
1.0
5.156 -1.411 0.000
5.156 1.411 0.000
-0.039 0.000 4.159
V H Ru
2 3 2
direct
0.068 0.068 0.235
0.932 0.932 0.765
0.301 0.301 0.778
0.500 0.500 0.500
0.699 0.699 0.222
0.336 0.336 0.256
0.664 0.664 0.744

(7)
V2H2Ru3, optimized geometry, DFT PBE; E = -51.50 eV per formula unit; SG = Immm; size of the total moment = 0.161 μB per cell
1.0
-1.356 2.122 6.615
1.356 -2.122 6.615
1.356 2.122 -6.615
V H Ru
2 2 3
direct
0.128 0.128 0.000
0.872 0.872 0.000
0.054 0.554 0.500
0.946 0.446 0.500
0.309 0.309 0.000
0.500 0.000 0.500
0.691 0.691 0.000

(8)
VHRu, optimized geometry, DFT PBE; polymorph energy (0 for the lowest one) = 0.000 kcal/mol of atoms; SG = C2/m; size of the total moment = 0.000 μB per cell
1.0
4.994 -1.400 0.000
4.994 1.400 0.000
-2.168 0.000 4.185
V H Ru
2 2 2
direct
0.112 0.112 0.286
0.888 0.888 0.714
0.257 0.257 0.738
0.743 0.743 0.262
0.378 0.378 0.210
0.622 0.622 0.790

(9)
VH2Ru, optimized geometry, DFT PBE; polymorph energy (0 for the lowest one) = 7.365 kcal/mol of atoms; SG = R-3m; size of the total moment = 0.000 μB per cell
1.0
1.447 0.835 4.802
-1.447 0.835 4.802
0.000 -1.671 4.802
V H Ru
1 2 1
direct
0.000 0.000 0.000
0.122 0.122 0.122
0.878 0.878 0.878
0.500 0.500 0.500

(10)
VH2Ru, optimized geometry, DFT PBE; polymorph energy (0 for the lowest one) = 3.046 kcal/mol of atoms; SG = I-42d; size of the total moment = 0.000 μB per cell
1.0
-2.022 2.022 4.124
2.022 -2.022 4.124
2.022 2.022 -4.124
V H Ru
2 4 2
direct
0.000 0.000 0.000
0.750 0.250 0.500
0.124 0.625 0.999
0.375 0.374 0.499
0.626 0.125 0.001
0.875 0.876 0.501
0.250 0.750 0.500
0.500 0.500 0.000

(11)
V2HRu, optimized geometry, DFT PBE; polymorph energy (0 for the lowest one) = 7.998 kcal/mol of atoms; SG = Fm-3m; size of the total moment = 0.000 μB per cell
1.0
0.000 2.890 2.890
2.890 0.000 2.890
2.890 2.890 0.000
V H Ru
2 1 1
direct
0.250 0.250 0.250
0.750 0.750 0.750
0.000 0.000 0.000
0.500 0.500 0.500

(12)
VHRu4, optimized geometry, DFT PBE; E = -49.04 eV per formula unit; SG = Cmc2_1; size of the total moment = 0.000 μB per cell
1.0
2.063 -6.629 0.000
2.063 6.629 0.000
0.000 0.000 5.356
V H Ru
2 2 8
direct
0.099 0.901 0.500
0.901 0.099 0.000
0.400 0.600 0.478
0.600 0.400 0.978
0.111 0.889 0.989
0.285 0.715 0.259
0.326 0.674 0.786
0.480 0.520 0.180
0.520 0.480 0.680
0.674 0.326 0.286
0.715 0.285 0.759
0.889 0.111 0.489

Q: Which value of size of the total moment does entry 1 give?
A: 0.000 μB per cell

Copy entry 5 word for word.
V2HRu, optimized geometry, DFT PBE; polymorph energy (0 for the lowest one) = 11.302 kcal/mol of atoms; SG = R-3m; size of the total moment = 0.000 μB per cell
1.0
1.895 1.094 5.408
-1.895 1.094 5.408
0.000 -2.188 5.408
V H Ru
2 1 1
direct
0.107 0.107 0.107
0.893 0.893 0.893
0.000 0.000 0.000
0.500 0.500 0.500